! DyAgGeTe2S, relaxed, DFT PBE; values from VASP
! Symmetry: Cmcm
! Total energy, eV for the cell shown: -52.09
&SYSTEM
  ibrav = 0, nat = 12, ntyp = 5
/
ATOMIC_SPECIES
Dy 162.50 Dy.upf
Ge 72.64 Ge.upf
Te 127.60 Te.upf
Ag 107.87 Ag.upf
S 32.06 S.upf
CELL_PARAMETERS angstrom
0.9718 4.3886 -6.1314
-4.8193 -3.0639 5.0186
1.0571 8.0520 5.9308
ATOMIC_POSITIONS crystal
Dy 0.5000 0.5000 0.5000
Ge 0.7329 0.2671 0.7500
Ge 0.2671 0.7329 0.2500
Te 0.1552 0.8448 0.5559
Ag 0.9853 0.0147 0.2500
Dy 0.5000 0.5000 0.0000
S 0.4199 0.5801 0.7500
Te 0.8448 0.1552 0.4441
Ag 0.0147 0.9853 0.7500
Te 0.8448 0.1552 0.0559
Te 0.1552 0.8448 0.9441
S 0.5801 0.4199 0.2500


! LaIrO3, relaxed, DFT PBE; values from VASP
! Symmetry: R-3
! Total energy, eV for the cell shown: -75.40
&SYSTEM
  ibrav = 0, nat = 10, ntyp = 3
/
ATOMIC_SPECIES
O 16.00 O.upf
Ir 192.22 Ir.upf
La 138.91 La.upf
CELL_PARAMETERS angstrom
-2.8835 4.9943 0.0000
2.8835 4.9943 0.0000
0.0000 3.3295 -4.8140
ATOMIC_POSITIONS crystal
O 0.5598 0.2099 0.2878
Ir 0.8378 0.8378 0.4865
Ir 0.1622 0.1622 0.5135
O 0.2099 0.9424 0.2878
La 0.6311 0.6311 0.1067
O 0.9424 0.5598 0.2878
O 0.7901 0.0576 0.7122
O 0.0576 0.4402 0.7122
O 0.4402 0.7901 0.7122
La 0.3689 0.3689 0.8934


! Ta2Co3Mo4N3, relaxed, DFT PBE; values from VASP
! Symmetry: C2/c
! Total energy, eV for the cell shown: -232.43
&SYSTEM
  ibrav = 0, nat = 24, ntyp = 4
/
ATOMIC_SPECIES
Ta 180.95 Ta.upf
N 14.01 N.upf
Mo 95.94 Mo.upf
Co 58.93 Co.upf
CELL_PARAMETERS angstrom
4.3386 -2.5372 0.0000
4.3386 2.5372 0.0000
-2.8526 0.0000 13.1283
ATOMIC_POSITIONS crystal
Ta 0.3798 0.5391 0.1272
N 0.0000 0.5000 0.0000
Mo 0.1841 0.0452 0.5926
Ta 0.5391 0.3798 0.6272
N 0.5000 0.0000 0.5000
Co 0.4135 0.0318 0.2521
Co 0.0318 0.4135 0.7521
N 0.6437 0.2106 0.9997
Co 0.5865 0.9682 0.7479
N 0.2106 0.6437 0.4997
Mo 0.1294 0.2972 0.4069
N 0.3563 0.7894 0.0003
Ta 0.4609 0.6202 0.3728
Mo 0.2972 0.1294 0.9069
Mo 0.7028 0.8706 0.0931
Co 0.9682 0.5865 0.2479
Mo 0.8159 0.9548 0.4074
Mo 0.0452 0.1841 0.0926
N 0.7894 0.3563 0.5003
Ta 0.6202 0.4609 0.8728
Mo 0.8706 0.7028 0.5931
Mo 0.9548 0.8159 0.9074
Co 0.1470 0.8530 0.7500
Co 0.8530 0.1470 0.2500


! Gd4B2PbBr, relaxed, DFT PBE; values from VASP
! Symmetry: P-6m2
! Total energy, eV for the cell shown: -41.04
&SYSTEM
  ibrav = 0, nat = 8, ntyp = 4
/
ATOMIC_SPECIES
Gd 157.25 Gd.upf
Br 79.90 Br.upf
B 10.81 B.upf
Pb 207.20 Pb.upf
CELL_PARAMETERS angstrom
3.8254 0.0000 0.0000
-1.9127 3.3129 0.0000
0.0000 0.0000 15.6097
ATOMIC_POSITIONS crystal
Gd 0.0000 0.0000 0.3299
Gd 0.3333 0.6667 0.8541
Gd 0.0000 0.0000 0.6701
Br 0.0000 0.0000 0.0000
Gd 0.3333 0.6667 0.1459
B 0.6667 0.3333 0.7671
Pb 0.3333 0.6667 0.5000
B 0.6667 0.3333 0.2329


! PrYNi2Ge4, relaxed, DFT PBE; values from VASP
! Symmetry: Amm2
! Total energy, eV for the cell shown: -46.67
&SYSTEM
  ibrav = 0, nat = 8, ntyp = 4
/
ATOMIC_SPECIES
Ni 58.69 Ni.upf
Ge 72.64 Ge.upf
Pr 140.91 Pr.upf
Y 88.91 Y.upf
CELL_PARAMETERS angstrom
-3.0495 2.6125 1.3258
5.9341 5.0612 3.6760
5.5498 6.5947 -0.2298
ATOMIC_POSITIONS crystal
Ni 0.5000 0.3183 0.3183
Ge 0.0000 0.2497 0.2497
Ge 0.0000 0.5431 0.5431
Pr 0.0000 0.8927 0.8927
Ge 0.5000 0.7485 0.7485
Ni 0.0000 0.6808 0.6808
Y 0.5000 0.1082 0.1082
Ge 0.5000 0.4586 0.4586


! Nd3Sc3Te2Pd, relaxed, DFT PBE; values from VASP
! Energy above the lowest structure with this stoichiometry, meV/atom: 0
! Symmetry: P-62m
! Total energy, eV for the cell shown: -52.34
&SYSTEM
  ibrav = 0, nat = 9, ntyp = 4
/
ATOMIC_SPECIES
Sc 44.96 Sc.upf
Pd 106.42 Pd.upf
Te 127.60 Te.upf
Nd 144.24 Nd.upf
CELL_PARAMETERS angstrom
8.1569 0.0000 0.0000
-4.0784 7.0641 0.0000
0.0000 0.0000 4.0846
ATOMIC_POSITIONS crystal
Sc 0.7658 0.0000 0.5000
Pd 0.0000 0.0000 0.0000
Te 0.6667 0.3333 0.5000
Sc 0.2342 0.2342 0.5000
Te 0.3333 0.6667 0.5000
Nd 0.6013 0.6013 0.0000
Nd 0.0000 0.3987 0.0000
Sc 0.0000 0.7658 0.5000
Nd 0.3987 0.0000 0.0000


! TbYNi2B2As2, relaxed, DFT PBE; values from VASP
! Symmetry: P4mm
! Total energy, eV for the cell shown: -50.06
&SYSTEM
  ibrav = 0, nat = 8, ntyp = 5
/
ATOMIC_SPECIES
Tb 158.93 Tb.upf
Ni 58.69 Ni.upf
B 10.81 B.upf
As 74.92 As.upf
Y 88.91 Y.upf
CELL_PARAMETERS angstrom
-1.6220 -3.4948 0.8354
2.2256 -1.6967 -2.7768
5.8454 -1.3900 5.5344
ATOMIC_POSITIONS crystal
Tb 0.0000 0.0000 0.7733
Ni 0.0000 0.5000 0.4998
B 0.0000 0.0000 0.4147
Ni 0.5000 0.0000 0.4998
As 0.0000 0.0000 0.1553
As 0.5000 0.5000 0.8457
B 0.5000 0.5000 0.5867
Y 0.5000 0.5000 0.2246


! AlZnCdAu, relaxed, DFT PBE; values from VASP
! Energy above the lowest structure with this stoichiometry, meV/atom: 17
! Symmetry: F-43m
! Total energy, eV for the cell shown: -9.11
&SYSTEM
  ibrav = 0, nat = 4, ntyp = 4
/
ATOMIC_SPECIES
Au 196.97 Au.upf
Zn 65.41 Zn.upf
Cd 112.41 Cd.upf
Al 26.98 Al.upf
CELL_PARAMETERS angstrom
0.0000 3.2923 3.2923
3.2923 0.0000 3.2923
3.2923 3.2923 0.0000
ATOMIC_POSITIONS crystal
Au 0.7500 0.7500 0.7500
Zn 0.5000 0.5000 0.5000
Cd 0.2500 0.2500 0.2500
Al 0.0000 0.0000 0.0000


! Ge2Pt, relaxed, DFT PBE; values from VASP
! Symmetry: Fd-3m
! Total energy, eV for the cell shown: -28.01
&SYSTEM
  ibrav = 0, nat = 6, ntyp = 2
/
ATOMIC_SPECIES
Pt 195.08 Pt.upf
Ge 72.64 Ge.upf
CELL_PARAMETERS angstrom
0.0000 3.7667 3.7667
3.7667 0.0000 3.7667
3.7667 3.7667 0.0000
ATOMIC_POSITIONS crystal
Pt 0.2500 0.2500 0.2500
Pt 0.0000 0.0000 0.0000
Ge 0.6250 0.6250 0.1250
Ge 0.1250 0.6250 0.6250
Ge 0.6250 0.6250 0.6250
Ge 0.6250 0.1250 0.6250


! TaBeSi, relaxed, DFT PBE; values from VASP
! Symmetry: F-43m
! Total energy, eV for the cell shown: -20.24
&SYSTEM
  ibrav = 0, nat = 3, ntyp = 3
/
ATOMIC_SPECIES
Si 28.09 Si.upf
Be 9.01 Be.upf
Ta 180.95 Ta.upf
CELL_PARAMETERS angstrom
2.9618 -1.9393 -1.6021
-0.3305 -3.8046 -0.7183
-0.2638 -1.2700 -3.6630
ATOMIC_POSITIONS crystal
Si 0.2500 0.2500 0.2500
Be 0.0000 0.0000 0.0000
Ta 0.7500 0.7500 0.7500


! DyHoCu2Si2, relaxed, DFT PBE; values from VASP
! Symmetry: P-3m1
! Total energy, eV for the cell shown: -31.48
&SYSTEM
  ibrav = 0, nat = 6, ntyp = 4
/
ATOMIC_SPECIES
Dy 162.50 Dy.upf
Si 28.09 Si.upf
Cu 63.55 Cu.upf
Ho 164.93 Ho.upf
CELL_PARAMETERS angstrom
-0.0069 -4.0639 0.7480
-0.3270 1.3874 -3.8785
7.4305 -0.1369 -0.6755
ATOMIC_POSITIONS crystal
Dy 0.0000 0.0000 0.0000
Si 0.6667 0.3333 0.2510
Cu 0.6667 0.3333 0.7490
Si 0.3333 0.6667 0.7490
Ho 0.0000 0.0000 0.5000
Cu 0.3333 0.6667 0.2510


! InGeAu3O4, relaxed, DFT PBE; values from VASP
! Symmetry: P-43m
! Total energy, eV for the cell shown: -37.89
&SYSTEM
  ibrav = 0, nat = 9, ntyp = 4
/
ATOMIC_SPECIES
Ge 72.64 Ge.upf
In 114.82 In.upf
O 16.00 O.upf
Au 196.97 Au.upf
CELL_PARAMETERS angstrom
-3.7066 -3.3733 -1.6515
3.2563 -1.7301 -3.7747
1.8715 -3.6705 3.2969
ATOMIC_POSITIONS crystal
Ge 0.0000 0.0000 0.0000
In 0.5000 0.5000 0.5000
O 0.7282 0.7282 0.7282
Au 0.0000 0.5000 0.0000
O 0.2718 0.7282 0.2718
Au 0.0000 0.0000 0.5000
O 0.7282 0.2718 0.2718
O 0.2718 0.2718 0.7282
Au 0.5000 0.0000 0.0000